A relaxed structure of VCr2AuO, computed with PBE with a Hubbard U.

Results
- Electronic total energy: -25.24 eV/cell
- SG: P4/mmm (123)

Geometry as extended XYZ:
```
5
Lattice="5.3215 0.0000 0.0000 0.0000 5.3215 0.0000 0.0000 0.0000 4.0095" Properties=species:S:1:pos:R:3 pbc="T T T"
V 0.0000 0.0000 0.0000
Cr 0.0000 2.6608 2.0048
Cr 2.6608 0.0000 2.0048
Au 2.6608 2.6608 2.0048
O 2.6608 2.6608 0.0000
```